# PBE Ac2Zn5Cu12, optimized geometry
data_Ac2Zn5Cu12
_cell_length_a 8.9340
_cell_length_b 8.9340
_cell_length_c 12.9041
_cell_angle_alpha 90.00
_cell_angle_beta 90.00
_cell_angle_gamma 120.00
_symmetry_space_group_name_H-M 'R -3 m'
_symmetry_Int_Tables_number 166
_symmetry_space_group_name_Hall '-R 3 2"'
loop_
_atom_site_label
_atom_site_fract_x
_atom_site_fract_y
_atom_site_fract_z
_atom_site_occupancy
Ac1 0.0000 0.0000 0.1455 1
Zn1 0.0000 0.0000 0.4008 1
Zn2 0.0000 0.5000 0.0000 1
Cu1 0.0000 0.2904 0.5000 1
Cu2 0.0075 0.5037 0.3439 1
# * N(E_F): 0.579 states/eV/atom
# * ΔH_f (0 K): -2.5 kcal/mol of atoms
# * energy: -3.4636 eV per atom